[1]
The following is a DFT calculation (PBE-GGA) of a relaxed structure of TiIrOs3.

```
data_TiIrOs3
_symmetry_space_group_name_H-M 'P m -3 m'
_symmetry_Int_Tables_number 221
_symmetry_space_group_name_Hall '-P 4 2 3'
_cell_length_a 4.680
_cell_length_b 4.680
_cell_length_c 4.680
_cell_angle_alpha 90.00
_cell_angle_beta 90.00
_cell_angle_gamma 90.00
loop_
_atom_site_label
_atom_site_type_symbol
_atom_site_fract_x
_atom_site_fract_y
_atom_site_fract_z
Ti1 Ti 0.000 0.000 0.000
Ir1 Ir 0.500 0.500 0.500
Os1 Os 0.000 0.500 0.500
```

Summary:
Magnetic moment = 0.00 μB per cell
DFT formation energy = 2079 meV/atom

***

[2]
The following is a DFT calculation (PBE-GGA) of a relaxed structure of Tl2Ir2Os.

```
data_Tl2Ir2Os
_symmetry_space_group_name_H-M 'I 4/m m m'
_symmetry_Int_Tables_number 139
_symmetry_space_group_name_Hall '-I 4 2'
_cell_length_a 3.506
_cell_length_b 3.506
_cell_length_c 16.516
_cell_angle_alpha 90.00
_cell_angle_beta 90.00
_cell_angle_gamma 90.00
loop_
_atom_site_label
_atom_site_type_symbol
_atom_site_fract_x
_atom_site_fract_y
_atom_site_fract_z
Tl1 Tl 0.000 0.000 0.098
Ir1 Ir 0.000 0.500 0.250
Os1 Os 0.000 0.000 0.500
```

Summary:
Magnetic moment = 0.00 μB per cell
DFT formation energy = 1128 meV/atom

***

[3]
The following is a DFT calculation (PBE-GGA) of a relaxed structure of TlIrOs2.

```
data_TlIrOs2
_symmetry_space_group_name_H-M 'R -3 m'
_symmetry_Int_Tables_number 166
_symmetry_space_group_name_Hall '-R 3 2"'
_cell_length_a 2.8458
_cell_length_b 2.8458
_cell_length_c 27.9599
_cell_angle_alpha 90.00
_cell_angle_beta 90.00
_cell_angle_gamma 120.00
loop_
_atom_site_label
_atom_site_type_symbol
_atom_site_fract_x
_atom_site_fract_y
_atom_site_fract_z
Tl1 Tl 0.0000 0.0000 0.0000
Ir1 Ir 0.0000 0.0000 0.5000
Os1 Os 0.0000 0.0000 0.2431
```

Summary:
Magnetic moment = 0.00 μB per cell
DFT formation energy = 727 meV/atom

***

[4]
The following is a DFT calculation (PBE-GGA) of a relaxed structure of TlIrOs3.

```
data_TlIrOs3
_symmetry_space_group_name_H-M 'P m -3 m'
_symmetry_Int_Tables_number 221
_symmetry_space_group_name_Hall '-P 4 2 3'
_cell_length_a 4.767
_cell_length_b 4.767
_cell_length_c 4.767
_cell_angle_alpha 90.00
_cell_angle_beta 90.00
_cell_angle_gamma 90.00
loop_
_atom_site_label
_atom_site_type_symbol
_atom_site_fract_x
_atom_site_fract_y
_atom_site_fract_z
Tl1 Tl 0.000 0.000 0.000
Ir1 Ir 0.500 0.500 0.500
Os1 Os 0.000 0.500 0.500
```

Summary:
Magnetic moment = 0.00 μB per cell
DFT formation energy = 2221 meV/atom

***

[5]
The following is a DFT calculation (PBE-GGA) of a relaxed structure of TlIrOs2.

```
data_TlIrOs2
_symmetry_space_group_name_H-M 'I m m 2'
_symmetry_Int_Tables_number 44
_cell_length_a 2.796
_cell_length_b 4.331
_cell_length_c 11.781
_cell_angle_alpha 90.00
_cell_angle_beta 90.00
_cell_angle_gamma 90.00
loop_
_symmetry_equiv_pos_as_xyz
'x,y,z'
'-x,-y,z'
'-x,y,z'
'x,-y,z'
'x+1/2,y+1/2,z+1/2'
'-x+1/2,-y+1/2,z+1/2'
'-x+1/2,y+1/2,z+1/2'
'x+1/2,-y+1/2,z+1/2'
loop_
_atom_site_label
_atom_site_type_symbol
_atom_site_fract_x
_atom_site_fract_y
_atom_site_fract_z
Tl1 Tl 0.000 0.000 0.000
Ir1 Ir 0.000 0.500 0.831
Os1 Os 0.000 0.000 0.588
Os2 Os 0.000 0.500 0.265
```

Summary:
Magnetic moment = 0.00 μB per cell
DFT formation energy = 806 meV/atom

***

[6]
The following is a DFT calculation (PBE-GGA) of a relaxed structure of TlIrOs2.

```
data_TlIrOs2
_symmetry_space_group_name_H-M 'P m m m'
_symmetry_Int_Tables_number 47
_cell_length_a 2.871
_cell_length_b 4.756
_cell_length_c 4.814
_cell_angle_alpha 90.00
_cell_angle_beta 90.00
_cell_angle_gamma 90.00
loop_
_symmetry_equiv_pos_as_xyz
'x,y,z'
'-x,-y,-z'
'-x,-y,z'
'x,y,-z'
'x,-y,-z'
'-x,y,z'
'-x,y,-z'
'x,-y,z'
loop_
_atom_site_label
_atom_site_type_symbol
_atom_site_fract_x
_atom_site_fract_y
_atom_site_fract_z
Tl1 Tl 0.000 0.000 0.000
Ir1 Ir 0.500 0.500 0.000
Os1 Os 0.000 0.500 0.500
Os2 Os 0.500 0.000 0.500
```

Summary:
Magnetic moment = 1.41 μB per cell
DFT formation energy = 966 meV/atom

***

[7]
The following is a DFT calculation (PBE-GGA) of a relaxed structure of TlIrOs2.

```
data_TlIrOs2
_symmetry_space_group_name_H-M 'P m m m'
_symmetry_Int_Tables_number 47
_cell_length_a 2.773
_cell_length_b 3.843
_cell_length_c 6.292
_cell_angle_alpha 90.00
_cell_angle_beta 90.00
_cell_angle_gamma 90.00
loop_
_symmetry_equiv_pos_as_xyz
'x,y,z'
'-x,-y,-z'
'-x,-y,z'
'x,y,-z'
'x,-y,-z'
'-x,y,z'
'-x,y,-z'
'x,-y,z'
loop_
_atom_site_label
_atom_site_type_symbol
_atom_site_fract_x
_atom_site_fract_y
_atom_site_fract_z
Tl1 Tl 0.000 0.000 0.000
Ir1 Ir 0.000 0.000 0.500
Os1 Os 0.500 0.500 0.293
```

Summary:
Magnetic moment = 0.00 μB per cell
DFT formation energy = 745 meV/atom

***

[8]
The following is a DFT calculation (PBE-GGA) of a relaxed structure of TlIrOs2.

```
data_TlIrOs2
_symmetry_space_group_name_H-M 'P 4/m m m'
_symmetry_Int_Tables_number 123
_symmetry_space_group_name_Hall '-P 4 2'
_cell_length_a 3.944
_cell_length_b 3.944
_cell_length_c 4.178
_cell_angle_alpha 90.00
_cell_angle_beta 90.00
_cell_angle_gamma 90.00
loop_
_atom_site_label
_atom_site_type_symbol
_atom_site_fract_x
_atom_site_fract_y
_atom_site_fract_z
Tl1 Tl 0.000 0.000 0.000
Ir1 Ir 0.500 0.500 0.000
Os1 Os 0.000 0.500 0.500
```

Summary:
Magnetic moment = 0.89 μB per cell
DFT formation energy = 970 meV/atom